Material: LaTmH2I4
Method: DFT, GGA-PBE
State: relaxed

Output
M_tot = 0.00 μB per formula unit
Final energy = -32.0 eV per cell
Calculated volume = 30.2 A^3/atom

a b c (Å): 4.0914 4.0914 16.6475
angles (deg): 90.00 90.00 120.00
Last column: nearest neighbours and their distance in Å.
Fractional coordinates of all 8 atoms:
I  0.3333  0.6667  0.8659  3 H 3.25, 3 La 3.25
H  0.3333  0.6667  0.5000  3 Tm 2.36
I  0.3333  0.6667  0.1341  3 H 3.25, 3 La 3.25
I  0.6667  0.3333  0.3771  3 H 3.12, 3 Tm 3.12
H  0.6667  0.3333  0.0000  3 La 2.36
Tm  0.0000  0.0000  0.5000  3 H 2.36
La  0.0000  0.0000  0.0000  3 H 2.36
I  0.6667  0.3333  0.6229  3 H 3.12, 3 Tm 3.12

---

Material: LaUH2I4
Method: DFT, GGA-PBE
State: relaxed

Output
M_tot = 2.99 μB per formula unit
Final energy = -37.1 eV per cell
Calculated volume = 30.1 A^3/atom

a b c (Å): 4.1081 4.1081 16.4699
angles (deg): 90.00 90.00 120.00
Last column: nearest neighbours and their distance in Å.
Fractional coordinates of all 8 atoms:
I  0.6667  0.3333  0.1356  3 H 3.26, 3 La 3.26
I  0.3333  0.6667  0.6298  3 H 3.19, 3 U 3.19
U  0.0000  0.0000  0.5000  3 H 2.37
H  0.6667  0.3333  0.5000  3 U 2.37
La  0.0000  0.0000  0.0000  3 H 2.37
H  0.3333  0.6667  0.0000  3 La 2.37
I  0.3333  0.6667  0.3702  3 H 3.19, 3 U 3.19
I  0.6667  0.3333  0.8644  3 H 3.26, 3 La 3.26